VCo2W after structural relaxation, computed with PBE-GGA.

Lattice parameters (Å, degrees): 3.704 3.704 3.630 90.00 90.00 90.00
Space group P4/mmm (No. 123)
Unique sites:
V 0.000 0.000 0.000 x1
Co 0.000 0.500 0.500 x2
W 0.500 0.500 0.000 x1

Properties
Total energy in eV/f.u.: -36.47
Polymorph energy (0 for the lowest one) in meV/atom: 0
ΔH_f (0 K) in eV per atom: -0.05